This record from Alexandria describes a relaxed structure of Na2TmNiF8. The functional is PBE with a Hubbard U.

Geometry as CIF:
```
data_Na2TmNiF8
_chemical_formula_sum 'Na2 Tm1 Ni1 F8'
_symmetry_space_group_name_H-M 'P 1 2/m 1'
_symmetry_Int_Tables_number 10
_cell_length_a 4.943
_cell_length_b 6.596
_cell_length_c 5.183
_cell_angle_alpha 90.00
_cell_angle_beta 91.59
_cell_angle_gamma 90.00
loop_
_symmetry_equiv_pos_as_xyz
'x,y,z'
'-x,-y,-z'
'-x,y,-z'
'x,-y,z'
loop_
_atom_site_label
_atom_site_type_symbol
_atom_site_fract_x
_atom_site_fract_y
_atom_site_fract_z
Na1 Na 0.000 0.238 0.000
Tm1 Tm 0.500 0.500 0.500
Ni1 Ni 0.500 0.000 0.500
F1 F 0.200 0.500 0.208
F2 F 0.236 0.000 0.241
F3 F 0.319 0.229 0.674
```

Calculated values
density of states at the Fermi level	0.0	states/eV/f.u.
E	-59.13	eV for the cell shown